Record 1
Density functional theory data (PBE) for crystalline Tb2GeRu at its relaxed geometry.

Unit cell a=6.0306 b=3.6818 c=8.5328 alpha=90.00 beta=107.62 gamma=90.00
Last column: nearest neighbours and their distance in Å.
Fractional positions:
Tb  0.1992  0.2500  0.4161  2 Ru 2.82, 2 Ge 3.06
Tb  0.2740  0.7500  0.0565  3 Ru 2.88-3.03, 3 Ge 3.06-3.12
Tb  0.7260  0.2500  0.9435  3 Ru 2.88-3.03, 3 Ge 3.06-3.12
Tb  0.8008  0.7500  0.5839  2 Ru 2.82, 2 Ge 3.06
Ge  0.3635  0.7500  0.7154  2 Ru 2.56
Ge  0.6365  0.2500  0.2846  2 Ru 2.56
Ru  0.1142  0.2500  0.7860  2 Ge 2.56, 2 Tb 2.82
Ru  0.8858  0.7500  0.2140  2 Ge 2.56, 2 Tb 2.82

Summary:
**Energy**: -6.40 eV/atom
**Space group**: No. 11
**DOS(E_F)**: 5.0 states/eV/cell
**Formation enthalpy at 0 K**: -0.608 eV per atom
**Volume**: 22.57 Å³ per atom
**Size of the total moment**: 0.00 μB per formula unit

---

Record 2
Density functional theory data (PBE) for crystalline La8Ir3PdAu4 at its relaxed geometry.

Unit cell a=8.7349 b=8.7349 c=8.7349 alpha=58.45 beta=58.45 gamma=58.45
Last column: nearest neighbours and their distance in Å.
Fractional positions:
La  0.2318  0.7452  0.7452  2 Ir 2.91, 1 Pd 2.99, 3 Au 3.12-3.20
La  0.2399  0.2399  0.2399  3 Ir 2.93, 3 Au 3.19
La  0.2548  0.2548  0.7682  2 Ir 2.91, 1 Pd 2.99, 3 Au 3.12-3.20
La  0.2548  0.7682  0.2548  2 Ir 2.91, 1 Pd 2.99, 3 Au 3.12-3.20
La  0.7452  0.2318  0.7452  2 Ir 2.91, 1 Pd 2.99, 3 Au 3.12-3.20
La  0.7452  0.7452  0.2318  2 Ir 2.91, 1 Pd 2.99, 3 Au 3.12-3.20
La  0.7601  0.7601  0.7601  3 Ir 2.93, 3 Au 3.19
La  0.7682  0.2548  0.2548  2 Ir 2.91, 1 Pd 2.99, 3 Au 3.12-3.20
Ir  0.0000  0.0000  0.5000  6 La 2.91-2.93
Ir  0.0000  0.5000  0.0000  6 La 2.91-2.93
Ir  0.5000  0.0000  0.0000  6 La 2.91-2.93
Pd  0.5000  0.5000  0.5000  6 La 2.99
Au  0.0000  0.0000  0.0000  6 La 3.12
Au  0.0000  0.5000  0.5000  6 La 3.19-3.20
Au  0.5000  0.0000  0.5000  6 La 3.19-3.20
Au  0.5000  0.5000  0.0000  6 La 3.19-3.20

Summary:
**Energy**: -6.06 eV/atom
**Space group**: No. 166
**DOS(E_F)**: 9.1 states/eV/cell
**Formation enthalpy at 0 K**: -0.794 eV per atom
**Volume**: 28.41 Å³ per atom
**Size of the total moment**: 0.00 μB per formula unit